Computed, not measured: crystalline HgBi3Rh at its relaxed geometry at the PBE level of DFT.

The structure in CIF format:
```
data_HgBi3Rh
_cell_length_a 5.361
_cell_length_b 5.361
_cell_length_c 5.361
_cell_angle_alpha 90.00
_cell_angle_beta 90.00
_cell_angle_gamma 90.00
_space_group_name_H-M_alt 'P m -3 m'
_space_group_IT_number 221
_space_group_name_Hall '-P 4 2 3'
loop_
_atom_site_label
_atom_site_type_symbol
_atom_site_fract_x
_atom_site_fract_y
_atom_site_fract_z
Hg1 Hg 0.000 0.000 0.000
Bi1 Bi 0.000 0.500 0.500
Rh1 Rh 0.500 0.500 0.500
```


Computed, not measured: crystalline TaMo2Ir at its relaxed geometry at the PBE level of DFT.

The structure in CIF format:
```
data_TaMo2Ir
_cell_length_a 3.217
_cell_length_b 3.217
_cell_length_c 6.255
_cell_angle_alpha 90.00
_cell_angle_beta 90.00
_cell_angle_gamma 90.00
_space_group_name_H-M_alt 'P 4 m m'
_space_group_IT_number 99
_space_group_name_Hall 'P 4 -2'
loop_
_atom_site_label
_atom_site_type_symbol
_atom_site_fract_x
_atom_site_fract_y
_atom_site_fract_z
Ta1 Ta 0.000 0.000 0.000
Mo1 Mo 0.000 0.000 0.511
Mo2 Mo 0.500 0.500 0.739
Ir1 Ir 0.500 0.500 0.237
```


Computed, not measured: crystalline Na2LiCr at its relaxed geometry at the PBE level of DFT.

The structure in CIF format:
```
data_Na2LiCr
_cell_length_a 8.351
_cell_length_b 8.351
_cell_length_c 6.135
_cell_angle_alpha 90.00
_cell_angle_beta 90.00
_cell_angle_gamma 90.00
_space_group_name_H-M_alt 'I -4 2 d'
_space_group_IT_number 122
_space_group_name_Hall 'I -4 2bw'
loop_
_atom_site_label
_atom_site_type_symbol
_atom_site_fract_x
_atom_site_fract_y
_atom_site_fract_z
Na1 Na 0.237 0.250 0.125
Li1 Li 0.000 0.000 0.000
Cr1 Cr 0.000 0.000 0.500
```


# NpNiBi2S5 (PBE, optimized geometry)
# - energy relative to the elements, uncorrected (eV per atom) = -0.56
data_NpNiBi2S5
_cell_length_a 3.906
_cell_length_b 17.000
_cell_length_c 12.522
_cell_angle_alpha 90.00
_cell_angle_beta 90.00
_cell_angle_gamma 90.00
_space_group_name_H-M_alt 'C m c 21'
_space_group_IT_number 36
_space_group_name_Hall 'C 2c -2'
loop_
_atom_site_label
_atom_site_type_symbol
_atom_site_fract_x
_atom_site_fract_y
_atom_site_fract_z
Np1 Np 0.000 0.192 0.000
Ni1 Ni 0.000 0.433 0.405
Bi1 Bi 0.000 0.096 0.609
Bi2 Bi 0.000 0.113 0.253
S1 S 0.000 0.038 0.987
S2 S 0.000 0.285 0.648
S3 S 0.000 0.306 0.360
S4 S 0.000 0.356 0.975
S5 S 0.000 0.498 0.248


no.,final energy (eV/f.u.),M_tot (μB/f.u.)
1,-18.0,0.000
2,-43.0,0.000
3,-11.6,4.934
4,-52.2,2.818